(1)
The following is a PBE calculation of a relaxed AgSeCl crystal, from Alexandria via LeMat-Bulk.

Its density of states at the Fermi level is 2.5 states/eV/f.u. For the energy relative to the elements, uncorrected, the calculation gives 0.265 eV per atom. The value obtained for the energy relative to the lowest polymorph listed for this composition is 518 meV/atom.

The space group is F-43m (No. 216) and the conventional cell measures 6.6179, 6.6179 and 6.6179 Å, with angles of 90.00, 90.00 and 90.00 degrees. The inequivalent atoms are Ag at (0.0000, 0.0000, 0.0000), Se at (0.2500, 0.2500, 0.2500) and Cl at (0.2500, 0.2500, 0.7500).

---

(2)
The following is a PBE calculation of a relaxed Ag5SeCl2 crystal, from Alexandria via LeMat-Bulk.

Its density of states at the Fermi level is 1.2 states/eV/f.u. For the energy relative to the elements, uncorrected, the calculation gives -0.123 eV per atom.

The space group is Cmcm (No. 63) and the conventional cell measures 3.7151, 15.4254 and 13.2599 Å, with angles of 90.00, 90.00 and 90.00 degrees. The inequivalent atoms are Ag at (0.0000, 0.1118, 0.0772), Ag at (0.0000, 0.1857, 0.7500), Ag at (0.0000, 0.2964, 0.0622), Se at (0.0000, 0.1922, 0.2500) and Cl at (0.0000, 0.0599, 0.6109).

---

(3)
The following is a PBE calculation of a relaxed AgSeCl crystal, from Alexandria via LeMat-Bulk.

Its density of states at the Fermi level is 0.4 states/eV/f.u. For the energy relative to the elements, uncorrected, the calculation gives -0.252 eV per atom. The value obtained for the energy relative to the lowest polymorph listed for this composition is 0 meV/atom.

The space group is P-1 (No. 2) and the conventional cell measures 4.3421, 5.9911 and 7.0281 Å, with angles of 110.82, 104.88 and 94.87 degrees. The inequivalent atoms are Ag at (0.1770, 0.1967, 0.3683), Se at (0.3007, 0.1098, 0.9901) and Cl at (0.2123, 0.6992, 0.3987).

---

(4)
The following is a PBE calculation of a relaxed Ag4Se2Cl crystal, from Alexandria via LeMat-Bulk.

Its density of states at the Fermi level is 1.8 states/eV/f.u. For the energy relative to the elements, uncorrected, the calculation gives -0.138 eV per atom. The value obtained for the energy relative to the lowest polymorph listed for this composition is 0 meV/atom.

The space group is Pbcm (No. 57) and the conventional cell measures 3.8935, 14.1580 and 12.0467 Å, with angles of 90.00, 90.00 and 90.00 degrees. The inequivalent atoms are Ag at (0.0931, 0.2500, 0.0000), Ag at (0.1637, 0.5078, 0.1222), Ag at (0.3555, 0.6213, 0.7500), Se at (0.4100, 0.6279, 0.5413) and Cl at (0.1429, 0.1235, 0.2500).

---

(5)
The following is a PBE calculation of a relaxed Ag2SeCl crystal, from Alexandria via LeMat-Bulk.

Its density of states at the Fermi level is 1.6 states/eV/f.u. For the energy relative to the elements, uncorrected, the calculation gives -0.029 eV per atom. The value obtained for the energy relative to the lowest polymorph listed for this composition is 208 meV/atom.

The space group is P4/mmm (No. 123) and the conventional cell measures 5.0677, 5.0677 and 3.1133 Å, with angles of 90.00, 90.00 and 90.00 degrees. The inequivalent atoms are Ag at (0.0000, 0.5000, 0.0000), Se at (0.0000, 0.0000, 0.5000) and Cl at (0.5000, 0.5000, 0.5000).

---

(6)
The following is a PBE calculation of a relaxed AgSeCl crystal, from Alexandria via LeMat-Bulk.

Its density of states at the Fermi level is 0.8 states/eV/f.u. For the energy relative to the elements, uncorrected, the calculation gives -0.222 eV per atom. The value obtained for the energy relative to the lowest polymorph listed for this composition is 30 meV/atom.

The space group is P2_1/m (No. 11) and the conventional cell measures 3.6463, 4.1902 and 9.8136 Å, with angles of 90.00, 100.58 and 90.00 degrees. The inequivalent atoms are Ag at (0.1772, 0.2500, 0.3522), Se at (0.0305, 0.2500, 0.0633) and Cl at (0.3191, 0.2500, 0.6398).

---

(7)
The following is a PBE calculation of a relaxed AgSeCl2 crystal, from Alexandria via LeMat-Bulk.

Its density of states at the Fermi level is 1.9 states/eV/f.u. For the energy relative to the elements, uncorrected, the calculation gives 0.181 eV per atom. The value obtained for the energy relative to the lowest polymorph listed for this composition is 314 meV/atom.

The space group is P4mm (No. 99) and the conventional cell measures 3.3035, 3.3035 and 8.2921 Å, with angles of 90.00, 90.00 and 90.00 degrees. The inequivalent atoms are Ag at (0.0000, 0.0000, 0.0000), Se at (0.5000, 0.5000, 0.7890), Cl at (0.0000, 0.0000, 0.5739) and Cl at (0.5000, 0.5000, 0.1797).

---

(8)
The following is a PBE calculation of a relaxed Ag7Se2Cl2 crystal, from Alexandria via LeMat-Bulk.

Its density of states at the Fermi level is 2.3 states/eV/f.u. For the energy relative to the elements, uncorrected, the calculation gives -0.034 eV per atom.

The space group is C2/m (No. 12) and the conventional cell measures 9.1491, 8.2909 and 6.7066 Å, with angles of 90.00, 103.34 and 90.00 degrees. The inequivalent atoms are Ag at (0.0000, 0.0000, 0.0000), Ag at (0.0558, 0.5000, 0.3270), Ag at (0.2295, 0.1772, 0.2967), Se at (0.0000, 0.2058, 0.5000) and Cl at (0.2097, 0.5000, 0.0431).